Dy2Y2Al4Cu PBE-GGA relaxed; total DFT energy (no corrections) = -4.79 eV/atom; formation energy from the elements = -0.214 eV/atom; magnetic moment = 0.001 Bohr magnetons per cell
1.0
-3.474 3.474 4.344
3.474 -3.474 4.344
3.474 3.474 -4.344
Dy Y Al Cu
2 2 4 1
Cartesian
0.000 0.000 1.695
0.000 0.000 6.993
3.474 0.000 2.172
0.000 3.474 2.172
1.814 1.814 0.000
1.660 -1.660 4.344
-1.660 1.660 4.344
1.660 1.660 4.344
0.000 0.000 4.344